(1)
Entry from Alexandria: Rb2ReHF6 after structural relaxation (PBE-GGA).

SG = Fm-3m (225)
Calculated total energy = -0.1766 hartree per atom
Magnetization = 3.001 μB per formula unit

The structure in CIF format:
```
data_Rb2ReHF6
_chemical_formula_sum 'Rb2 Re1 H1 F6'
_symmetry_space_group_name_H-M 'P 1'
_symmetry_Int_Tables_number 1
_symmetry_space_group_name_Hall 'P 1'
_cell_length_a 6.334
_cell_length_b 6.334
_cell_length_c 6.334
_cell_angle_alpha 60.00
_cell_angle_beta 60.00
_cell_angle_gamma 60.00
loop_
_atom_site_label
_atom_site_type_symbol
_atom_site_fract_x
_atom_site_fract_y
_atom_site_fract_z
_atom_site_occupancy
Rb1 Rb 0.250 0.250 0.250 1
Rb2 Rb 0.750 0.750 0.750 1
Re1 Re 0.000 0.000 0.000 1
H1 H 0.500 0.500 0.500 1
F1 F 0.222 0.222 0.778 1
F2 F 0.222 0.778 0.222 1
F3 F 0.222 0.778 0.778 1
F4 F 0.778 0.222 0.222 1
F5 F 0.778 0.222 0.778 1
F6 F 0.778 0.778 0.222 1
```

(2)
Entry from Alexandria: Cs6Rb8Mg after structural relaxation (PBE-GGA).

SG = R-3 (148)
Calculated total energy = -0.0334 hartree per atom
Magnetization = 0.000 μB per formula unit
Formation enthalpy at 0 K = 54 meV per atom

The structure in CIF format:
```
data_Cs6Rb8Mg
_chemical_formula_sum 'Cs6 Rb8 Mg1'
_symmetry_space_group_name_H-M 'P 1'
_symmetry_Int_Tables_number 1
_symmetry_space_group_name_Hall 'P 1'
_cell_length_a 11.816
_cell_length_b 11.816
_cell_length_c 11.816
_cell_angle_alpha 71.86
_cell_angle_beta 71.86
_cell_angle_gamma 71.86
loop_
_atom_site_label
_atom_site_type_symbol
_atom_site_fract_x
_atom_site_fract_y
_atom_site_fract_z
_atom_site_occupancy
Cs1 Cs 0.173 0.441 0.620 1
Cs2 Cs 0.380 0.827 0.559 1
Cs3 Cs 0.441 0.620 0.173 1
Cs4 Cs 0.559 0.380 0.827 1
Cs5 Cs 0.620 0.173 0.441 1
Cs6 Cs 0.827 0.559 0.380 1
Rb1 Rb 0.038 0.895 0.334 1
Rb2 Rb 0.105 0.666 0.962 1
Rb3 Rb 0.240 0.240 0.240 1
Rb4 Rb 0.334 0.038 0.895 1
Rb5 Rb 0.666 0.962 0.105 1
Rb6 Rb 0.760 0.760 0.760 1
Rb7 Rb 0.895 0.334 0.038 1
Rb8 Rb 0.962 0.105 0.666 1
Mg1 Mg 0.000 0.000 0.000 1
```

(3)
Entry from Alexandria: Rb3Ac2US6 after structural relaxation (PBE-GGA).

SG = C2/m (12)
Raw formation energy = -1.6670 eV/atom
Calculated total energy = -0.2057 hartree per atom
Magnetization = 3.012 μB per formula unit

The structure in CIF format:
```
data_Rb3Ac2US6
_chemical_formula_sum 'Rb3 Ac2 U1 S6'
_symmetry_space_group_name_H-M 'P 1'
_symmetry_Int_Tables_number 1
_symmetry_space_group_name_Hall 'P 1'
_cell_length_a 7.548
_cell_length_b 7.548
_cell_length_c 8.129
_cell_angle_alpha 98.91
_cell_angle_beta 98.91
_cell_angle_gamma 120.05
loop_
_atom_site_label
_atom_site_type_symbol
_atom_site_fract_x
_atom_site_fract_y
_atom_site_fract_z
_atom_site_occupancy
Rb1 Rb 0.000 0.000 0.000 1
Rb2 Rb 0.332 0.668 0.000 1
Rb3 Rb 0.668 0.332 0.000 1
Ac1 Ac 0.167 0.833 0.500 1
Ac2 Ac 0.833 0.167 0.500 1
U1 U 0.500 0.500 0.500 1
S1 S 0.117 0.433 0.300 1
S2 S 0.251 0.251 0.699 1
S3 S 0.433 0.117 0.300 1
S4 S 0.567 0.883 0.700 1
S5 S 0.749 0.749 0.301 1
S6 S 0.883 0.567 0.700 1
```

(4)
Entry from Alexandria: RbRuCl2 after structural relaxation (PBE-GGA).

SG = Fm-3m (225)
Raw formation energy = -0.1242 eV/atom
Calculated total energy = -0.1326 hartree per atom
Magnetization = 3.000 μB per formula unit

The structure in CIF format:
```
data_RbRuCl2
_chemical_formula_sum 'Rb4 Ru4 Cl8'
_symmetry_space_group_name_H-M 'P 1'
_symmetry_Int_Tables_number 1
_symmetry_space_group_name_Hall 'P 1'
_cell_length_a 7.289
_cell_length_b 7.289
_cell_length_c 7.289
_cell_angle_alpha 90.00
_cell_angle_beta 90.00
_cell_angle_gamma 90.00
loop_
_atom_site_label
_atom_site_type_symbol
_atom_site_fract_x
_atom_site_fract_y
_atom_site_fract_z
_atom_site_occupancy
Rb1 Rb 0.000 0.000 0.000 1
Rb2 Rb 0.000 0.500 0.500 1
Rb3 Rb 0.500 0.000 0.500 1
Rb4 Rb 0.500 0.500 0.000 1
Ru1 Ru 0.000 0.000 0.500 1
Ru2 Ru 0.000 0.500 0.000 1
Ru3 Ru 0.500 0.000 0.000 1
Ru4 Ru 0.500 0.500 0.500 1
Cl1 Cl 0.250 0.250 0.250 1
Cl2 Cl 0.250 0.250 0.750 1
Cl3 Cl 0.250 0.750 0.250 1
Cl4 Cl 0.250 0.750 0.750 1
Cl5 Cl 0.750 0.250 0.250 1
Cl6 Cl 0.750 0.250 0.750 1
Cl7 Cl 0.750 0.750 0.250 1
Cl8 Cl 0.750 0.750 0.750 1
```

(5)
Entry from Alexandria: ZrMo2BrN after structural relaxation (PBE-GGA).

SG = P4/mmm (123)
Raw formation energy = 2.2381 eV/atom
Calculated total energy = -0.2133 hartree per atom
Magnetization = 0.000 μB per formula unit

The structure in CIF format:
```
data_ZrMo2BrN
_chemical_formula_sum 'Zr1 Mo2 Br1 N1'
_symmetry_space_group_name_H-M 'P 1'
_symmetry_Int_Tables_number 1
_symmetry_space_group_name_Hall 'P 1'
_cell_length_a 4.546
_cell_length_b 4.546
_cell_length_c 5.000
_cell_angle_alpha 90.00
_cell_angle_beta 90.00
_cell_angle_gamma 90.00
loop_
_atom_site_label
_atom_site_type_symbol
_atom_site_fract_x
_atom_site_fract_y
_atom_site_fract_z
_atom_site_occupancy
Zr1 Zr 0.000 0.000 0.000 1
Mo1 Mo 0.000 0.500 0.500 1
Mo2 Mo 0.500 0.000 0.500 1
Br1 Br 0.000 0.000 0.500 1
N1 N 0.500 0.500 0.000 1
```

(6)
Entry from Alexandria: Si3W after structural relaxation (PBE-GGA).

SG = C2/m (12)
Raw formation energy = 0.1889 eV/atom
Calculated total energy = -0.2615 hartree per atom
Magnetization = 0.000 μB per formula unit

The structure in CIF format:
```
data_Si3W
_chemical_formula_sum 'Si6 W2'
_symmetry_space_group_name_H-M 'P 1'
_symmetry_Int_Tables_number 1
_symmetry_space_group_name_Hall 'P 1'
_cell_length_a 8.855
_cell_length_b 2.910
_cell_length_c 4.399
_cell_angle_alpha 90.00
_cell_angle_beta 93.97
_cell_angle_gamma 90.00
loop_
_atom_site_label
_atom_site_type_symbol
_atom_site_fract_x
_atom_site_fract_y
_atom_site_fract_z
_atom_site_occupancy
Si1 Si 0.000 0.000 0.000 1
Si2 Si 0.239 0.000 0.745 1
Si3 Si 0.261 0.500 0.255 1
Si4 Si 0.500 0.500 0.000 1
Si5 Si 0.739 0.500 0.745 1
Si6 Si 0.761 0.000 0.255 1
W1 W 0.000 0.500 0.500 1
W2 W 0.500 0.000 0.500 1
```

(7)
Entry from Alexandria: K3PrTm2Se6 after structural relaxation (PBE-GGA).

SG = C2/m (12)
Raw formation energy = -1.7456 eV/atom
Calculated total energy = -0.1803 hartree per atom
Magnetization = 0.000 μB per formula unit

The structure in CIF format:
```
data_K3PrTm2Se6
_chemical_formula_sum 'K3 Pr1 Tm2 Se6'
_symmetry_space_group_name_H-M 'P 1'
_symmetry_Int_Tables_number 1
_symmetry_space_group_name_Hall 'P 1'
_cell_length_a 7.340
_cell_length_b 7.340
_cell_length_c 8.072
_cell_angle_alpha 98.74
_cell_angle_beta 98.74
_cell_angle_gamma 120.01
loop_
_atom_site_label
_atom_site_type_symbol
_atom_site_fract_x
_atom_site_fract_y
_atom_site_fract_z
_atom_site_occupancy
K1 K 0.000 0.000 0.000 1
K2 K 0.336 0.664 0.000 1
K3 K 0.664 0.336 0.000 1
Pr1 Pr 0.500 0.500 0.500 1
Tm1 Tm 0.167 0.833 0.500 1
Tm2 Tm 0.833 0.167 0.500 1
Se1 Se 0.085 0.431 0.294 1
Se2 Se 0.222 0.222 0.705 1
Se3 Se 0.431 0.085 0.294 1
Se4 Se 0.569 0.915 0.706 1
Se5 Se 0.778 0.778 0.295 1
Se6 Se 0.915 0.569 0.706 1
```

(8)
Entry from Alexandria: NaTl10Sb4 after structural relaxation (PBE-GGA).

SG = I4/m (87)
Raw formation energy = 0.0051 eV/atom
Calculated total energy = -0.1014 hartree per atom
Magnetization = 0.000 μB per formula unit

The structure in CIF format:
```
data_NaTl10Sb4
_chemical_formula_sum 'Na1 Tl10 Sb4'
_symmetry_space_group_name_H-M 'P 1'
_symmetry_Int_Tables_number 1
_symmetry_space_group_name_Hall 'P 1'
_cell_length_a 9.217
_cell_length_b 9.217
_cell_length_c 9.217
_cell_angle_alpha 99.53
_cell_angle_beta 99.53
_cell_angle_gamma 131.97
loop_
_atom_site_label
_atom_site_type_symbol
_atom_site_fract_x
_atom_site_fract_y
_atom_site_fract_z
_atom_site_occupancy
Na1 Na 0.000 0.000 0.000 1
Tl1 Tl 0.054 0.348 0.903 1
Tl2 Tl 0.151 0.054 0.706 1
Tl3 Tl 0.250 0.750 0.500 1
Tl4 Tl 0.348 0.445 0.294 1
Tl5 Tl 0.445 0.151 0.097 1
Tl6 Tl 0.555 0.849 0.903 1
Tl7 Tl 0.652 0.555 0.706 1
Tl8 Tl 0.750 0.250 0.500 1
Tl9 Tl 0.849 0.946 0.294 1
Tl10 Tl 0.946 0.652 0.097 1
Sb1 Sb 0.199 0.395 0.594 1
Sb2 Sb 0.395 0.801 0.196 1
Sb3 Sb 0.605 0.199 0.804 1
Sb4 Sb 0.801 0.605 0.406 1
```